# 1
! PBE TbTm2ScS4, relaxed; values from VASP
! total moment = 0.000 Bohr magnetons per cell
! mass density = 6.99 g/cm3
! space group = P2/m
! raw total energy = -51.8 eV for the cell shown
&SYSTEM
  ibrav = 0, nat = 8, ntyp = 4
/
ATOMIC_SPECIES
Tb 158.93 Tb.upf
Tm 168.93 Tm.upf
Sc 44.96 Sc.upf
S 32.06 S.upf
CELL_PARAMETERS angstrom
3.803 0.000 0.000
0.000 6.664 0.138
0.000 -2.305 6.231
ATOMIC_POSITIONS crystal
Tb 0.500 0.500 0.000
Tm 0.500 0.000 0.500
Tm 0.000 0.500 0.500
Sc 0.000 0.000 0.000
S 0.500 0.241 0.246
S 0.500 0.759 0.754
S 0.000 0.242 0.748
S 0.000 0.758 0.252

=====

# 2
! PBE Tb3Tm3ScS8, relaxed; values from VASP
! total moment = 0.000 Bohr magnetons per cell
! mass density = 6.55 g/cm3
! space group = R-3m
! raw total energy = -97.1 eV for the cell shown
&SYSTEM
  ibrav = 0, nat = 15, ntyp = 4
/
ATOMIC_SPECIES
Tb 158.93 Tb.upf
Tm 168.93 Tm.upf
Sc 44.96 Sc.upf
S 32.06 S.upf
CELL_PARAMETERS angstrom
7.708 0.000 0.000
-3.854 6.675 -0.023
0.000 -4.428 6.347
ATOMIC_POSITIONS crystal
Tb 0.000 0.000 0.000
Tb 0.000 0.500 0.000
Tb 0.500 0.500 0.000
Tm 0.500 0.000 0.500
Tm 0.500 0.500 0.500
Tm 0.000 0.500 0.500
Sc 0.000 0.000 0.500
S 0.253 0.505 0.258
S 0.747 0.495 0.742
S 0.756 0.512 0.261
S 0.244 0.488 0.739
S 0.756 0.005 0.261
S 0.244 0.995 0.739
S 0.249 0.005 0.261
S 0.751 0.995 0.739

=====

# 3
! PBE TbTm3Sc2S6, relaxed; values from VASP
! total moment = 0.000 Bohr magnetons per cell
! mass density = 6.71 g/cm3
! space group = C2/m
! raw total energy = -78.5 eV for the cell shown
&SYSTEM
  ibrav = 0, nat = 12, ntyp = 4
/
ATOMIC_SPECIES
Tb 158.93 Tb.upf
Tm 168.93 Tm.upf
Sc 44.96 Sc.upf
S 32.06 S.upf
CELL_PARAMETERS angstrom
6.607 -0.010 -0.001
-3.310 5.717 -0.001
-1.100 -1.905 6.217
ATOMIC_POSITIONS crystal
Tb 0.000 0.000 0.000
Tm 0.162 0.838 0.500
Tm 0.838 0.162 0.500
Tm 0.500 0.500 0.500
Sc 0.334 0.666 0.000
Sc 0.666 0.334 0.000
S 0.918 0.574 0.753
S 0.737 0.737 0.244
S 0.082 0.426 0.247
S 0.574 0.918 0.753
S 0.263 0.263 0.756
S 0.426 0.082 0.247

=====

- What is the formula in the third record?
  TbTm3Sc2S6

=====

- Look up the raw total energy of the second one.
  -97.1 eV for the cell shown

=====

- total moment of number 3 (TbTm3Sc2S6)?
  0.000 Bohr magnetons per cell